Entry 1:
Ga2Te2Br | PBE | optimized geometry

a = 4.3738 Å, b = 4.3738 Å, c = 8.5359 Å
α = 75.16°, β = 75.16°, γ = 90.00°
Closest atoms and distances in Å follow each position.
Positions (direct):
Ga 0.4088 0.4088 0.1824  1 Ga 2.90
Ga 0.5912 0.5912 0.8176  1 Ga 2.90
Te 0.2500 0.7500 0.5000  4 Te 3.09, 4 Ga 3.34
Te 0.7500 0.2500 0.5000  4 Te 3.09, 4 Ga 3.34
Br 0.0000 0.0000 0.0000  8 Ga 3.42

Its space-group type is I4/mmm, No. 139. The magnetization comes out at 0.000 μB/f.u. The uncorrected formation energy is -4.04 kcal/mol of atoms.

***

Entry 2:
Ga2TeBr | PBE | optimized geometry

a = 5.2649 Å, b = 5.2649 Å, c = 5.2649 Å
α = 60.00°, β = 60.00°, γ = 60.00°
Closest atoms and distances in Å follow each position.
Positions (direct):
Ga 0.7500 0.7500 0.7500  4 Te 3.22, 4 Br 3.22
Ga 0.2500 0.2500 0.2500  4 Br 3.22, 4 Te 3.22
Br 0.0000 0.0000 0.0000  8 Ga 3.22
Te 0.5000 0.5000 0.5000  8 Ga 3.22

Its space-group type is Fm-3m, No. 225. The magnetization comes out at 0.000 μB/f.u. The uncorrected formation energy is -3.88 kcal/mol of atoms.

***

Entry 3:
GaTeBr | PBE | optimized geometry

a = 6.8735 Å, b = 4.1480 Å, c = 8.1993 Å
α = 90.00°, β = 91.44°, γ = 90.00°
Closest atoms and distances in Å follow each position.
Positions (direct):
Te 0.6960 0.7500 0.6533  3 Ga 2.69-2.71
Te 0.3040 0.2500 0.3467  3 Ga 2.69-2.71
Br 0.7832 0.7500 0.1381  1 Ga 2.33
Br 0.2168 0.2500 0.8619  1 Ga 2.33
Ga 0.5537 0.7500 0.3419  1 Br 2.33
Ga 0.4463 0.2500 0.6581  1 Br 2.33

Its space-group type is P2_1/m, No. 11. The magnetization comes out at 0.000 μB/f.u. The uncorrected formation energy is -12.89 kcal/mol of atoms.

***

Entry 4:
GaTeBr | PBE | optimized geometry

a = 4.1649 Å, b = 6.0273 Å, c = 8.5685 Å
α = 90.73°, β = 91.59°, γ = 90.00°
Closest atoms and distances in Å follow each position.
Positions (direct):
Te 0.2844 0.3541 0.9894  3 Ga 2.66-2.69
Te 0.8020 0.8599 0.3025  3 Ga 2.66-2.69
Ga 0.7870 0.6308 0.0345  1 Br 2.35
Ga 0.2993 0.1349 0.2575  1 Br 2.35
Br 0.3123 0.3707 0.4780  1 Ga 2.35
Br 0.7743 0.8583 0.8138  1 Ga 2.35

Its space-group type is P1, No. 1. The magnetization comes out at 0.000 μB/f.u. The uncorrected formation energy is -13.47 kcal/mol of atoms.

***

Entry 5:
Ga2TeBr | PBE | optimized geometry

a = 7.6454 Å, b = 7.6454 Å, c = 6.9111 Å
α = 56.42°, β = 56.42°, γ = 90.00°
Closest atoms and distances in Å follow each position.
Positions (direct):
Te 0.7500 0.2500 0.5000  4 Ga 2.87
Te 0.0000 0.0000 0.0000  4 Ga 2.87
Ga 0.1178 0.6250 0.2500  2 Te 2.87, 2 Br 2.95
Ga 0.6322 0.1250 0.2500  2 Te 2.87, 2 Br 2.95
Ga 0.3750 0.3678 0.7500  2 Te 2.87, 2 Br 2.95
Ga 0.8750 0.8822 0.7500  2 Te 2.87, 2 Br 2.95
Br 0.2500 0.7500 0.5000  4 Ga 2.95
Br 0.5000 0.5000 0.0000  4 Ga 2.95

Its space-group type is I-42d, No. 122. The magnetization comes out at 0.000 μB/f.u. The uncorrected formation energy is -4.12 kcal/mol of atoms.

***

Entry 6:
Ga2Te2Br | PBE | optimized geometry

a = 4.6795 Å, b = 4.6795 Å, c = 7.4618 Å
α = 71.73°, β = 71.73°, γ = 90.00°
Closest atoms and distances in Å follow each position.
Positions (direct):
Ga 0.7500 0.2500 0.5000  4 Te 2.79
Ga 0.2500 0.7500 0.5000  4 Te 2.79
Br 0.0000 0.0000 0.0000  8 Te 3.78, 8 Ga 4.08
Te 0.6368 0.6368 0.7263  4 Ga 2.79
Te 0.3632 0.3632 0.2737  4 Ga 2.79

Its space-group type is I4/mmm, No. 139. The magnetization comes out at 0.000 μB/f.u. The uncorrected formation energy is -6.39 kcal/mol of atoms.

***

Entry 7:
GaTeBr | PBE | optimized geometry

a = 4.1698 Å, b = 4.1714 Å, c = 7.4491 Å
α = 73.87°, β = 74.00°, γ = 60.01°
Closest atoms and distances in Å follow each position.
Positions (direct):
Te 0.9528 0.0810 0.9438  3 Ga 2.70
Ga 0.3422 0.4719 0.7716  1 Br 2.31
Br 0.4480 0.5811 0.4445  1 Ga 2.31

Its space-group type is P1, No. 1. The magnetization comes out at 0.000 μB/f.u. The uncorrected formation energy is -13.05 kcal/mol of atoms.

***

Entry 8:
GaTeBr | PBE | optimized geometry

a = 7.0999 Å, b = 4.1707 Å, c = 7.2194 Å
α = 90.00°, β = 90.48°, γ = 90.00°
Closest atoms and distances in Å follow each position.
Positions (direct):
Br 0.2553 0.0000 0.9653  1 Ga 2.31
Br 0.2553 0.5000 0.4653  1 Ga 2.31
Te 0.7520 0.0000 0.3036  3 Ga 2.70
Te 0.7520 0.5000 0.8036  3 Ga 2.70
Ga 0.5805 0.0000 0.9689  1 Br 2.31
Ga 0.5805 0.5000 0.4689  1 Br 2.31

Its space-group type is Cm, No. 8. The magnetization comes out at 0.000 μB/f.u. The uncorrected formation energy is -13.06 kcal/mol of atoms.

***

Entry 9:
GaTeBr | PBE | optimized geometry

a = 6.8863 Å, b = 4.1242 Å, c = 7.6140 Å
α = 90.00°, β = 90.11°, γ = 90.00°
Closest atoms and distances in Å follow each position.
Positions (direct):
Te 0.2732 0.5000 0.9921  3 Ga 2.69
Te 0.7727 0.0000 0.7160  3 Ga 2.69
Br 0.7527 0.5000 0.1975  1 Ga 2.35
Br 0.2510 0.0000 0.5106  1 Ga 2.35
Ga 0.8919 0.5000 0.9163  1 Br 2.35
Ga 0.3916 0.0000 0.7918  1 Br 2.35

Its space-group type is Pm, No. 6. The magnetization comes out at 0.000 μB/f.u. The uncorrected formation energy is -13.22 kcal/mol of atoms.

***

Entry 10:
GaTeBr2 | PBE | optimized geometry

a = 9.8581 Å, b = 9.8581 Å, c = 9.8581 Å
α = 23.06°, β = 23.06°, γ = 23.06°
Closest atoms and distances in Å follow each position.
Positions (direct):
Ga 0.5000 0.5000 0.5000  6 Br 3.05
Br 0.9041 0.9041 0.9041  1 Te 2.76, 3 Ga 3.05
Br 0.0959 0.0959 0.0959  1 Te 2.76, 3 Ga 3.05
Te 0.0000 0.0000 0.0000  2 Br 2.76

Its space-group type is R-3m, No. 166. The magnetization comes out at 0.000 μB/f.u. The uncorrected formation energy is -4.06 kcal/mol of atoms.

***

Entry 11:
GaTeBr | PBE | optimized geometry

a = 4.1651 Å, b = 6.0412 Å, c = 8.6565 Å
α = 90.00°, β = 103.53°, γ = 90.00°
Closest atoms and distances in Å follow each position.
Positions (direct):
Br 0.0870 0.2796 0.6652  1 Ga 2.35
Br 0.9130 0.7796 0.3348  1 Ga 2.35
Ga 0.8043 0.0147 0.1121  1 Br 2.35
Ga 0.1957 0.5147 0.8879  1 Br 2.35
Te 0.6723 0.7892 0.8399  3 Ga 2.67-2.69
Te 0.3277 0.2892 0.1601  3 Ga 2.67-2.69

Its space-group type is P2_1, No. 4. The magnetization comes out at 0.000 μB/f.u. The uncorrected formation energy is -13.48 kcal/mol of atoms.

***

Entry 12:
GaTeBr2 | PBE | optimized geometry

a = 5.5012 Å, b = 5.5012 Å, c = 5.5012 Å
α = 60.00°, β = 60.00°, γ = 60.00°
Closest atoms and distances in Å follow each position.
Positions (direct):
Te 0.5000 0.5000 0.5000  8 Br 3.37
Ga 0.0000 0.0000 0.0000  8 Br 3.37
Br 0.7500 0.7500 0.7500  4 Te 3.37, 4 Ga 3.37
Br 0.2500 0.2500 0.2500  4 Te 3.37, 4 Ga 3.37

Its space-group type is Fm-3m, No. 225. The magnetization comes out at 2.413 μB/f.u. The uncorrected formation energy is 3.32 kcal/mol of atoms.

***

Entry 13:
Ga2TeBr6 | PBE | optimized geometry

a = 5.8863 Å, b = 12.1071 Å, c = 12.1071 Å
α = 68.11°, β = 76.44°, γ = 76.44°
Closest atoms and distances in Å follow each position.
Positions (direct):
Br 0.1963 0.6623 0.9071  1 Ga 2.28
Br 0.9339 0.8077 0.3678  1 Ga 2.30
Br 0.6963 0.9071 0.6623  1 Ga 2.28
Br 0.3895 0.7037 0.5639  2 Ga 2.48-2.50
Br 0.5661 0.6322 0.1923  1 Ga 2.30
Br 0.1105 0.4361 0.2963  2 Ga 2.48-2.50
Br 0.6105 0.2963 0.4361  2 Ga 2.48-2.50
Br 0.0661 0.1923 0.6322  1 Ga 2.30
Br 0.8895 0.5639 0.7037  2 Ga 2.48-2.50
Br 0.8037 0.3377 0.0929  1 Ga 2.28
Br 0.4339 0.3678 0.8077  1 Ga 2.30
Br 0.3037 0.0929 0.3377  1 Ga 2.28
Ga 0.2553 0.5655 0.7706  4 Br 2.28-2.50
Ga 0.2447 0.2294 0.4345  4 Br 2.28-2.50
Ga 0.7553 0.7706 0.5655  4 Br 2.28-2.50
Ga 0.7447 0.4345 0.2294  4 Br 2.28-2.50
Te 0.2500 0.9930 0.0070  2 Te 2.95
Te 0.7500 0.0070 0.9930  2 Te 2.95

Its space-group type is C2/c, No. 15. The magnetization comes out at 0.000 μB/f.u. The uncorrected formation energy is -14.02 kcal/mol of atoms.

***

Entry 14:
Ga2Te2Br | PBE | optimized geometry

a = 5.4663 Å, b = 5.4667 Å, c = 7.5334 Å
α = 111.28°, β = 111.27°, γ = 89.98°
Closest atoms and distances in Å follow each position.
Positions (direct):
Ga 0.6978 0.1978 0.8956  1 Br 2.56, 4 Te 2.82
Ga 0.3022 0.8022 0.1044  1 Br 2.56, 4 Te 2.82
Te 0.2500 0.2500 0.0000  4 Ga 2.82
Te 0.7500 0.7500 0.0000  4 Ga 2.82
Br 0.5000 0.0000 0.5000  2 Ga 2.56

Its space-group type is I4/mmm, No. 139. The magnetization comes out at 0.000 μB/f.u. The uncorrected formation energy is -6.10 kcal/mol of atoms.

***

Entry 15:
Ga2Te2Br | PBE | optimized geometry

a = 8.2959 Å, b = 8.2959 Å, c = 3.6586 Å
α = 90.00°, β = 90.00°, γ = 90.00°
Closest atoms and distances in Å follow each position.
Positions (direct):
Te 0.1465 0.6465 0.5000  6 Ga 2.94-3.12
Te 0.8535 0.3535 0.5000  6 Ga 2.94-3.12
Te 0.6465 0.8535 0.5000  6 Ga 2.94-3.12
Te 0.3535 0.1465 0.5000  6 Ga 2.94-3.12
Ga 0.6572 0.1572 0.0000  6 Te 2.94-3.12, 2 Br 3.13
Ga 0.8428 0.6572 0.0000  6 Te 2.94-3.12, 2 Br 3.13
Ga 0.1572 0.3428 0.0000  6 Te 2.94-3.12, 2 Br 3.13
Ga 0.3428 0.8428 0.0000  6 Te 2.94-3.12, 2 Br 3.13
Br 0.5000 0.5000 0.0000  4 Ga 3.13
Br 0.0000 0.0000 0.0000  4 Ga 3.13

Its space-group type is P4/mbm, No. 127. The magnetization comes out at 0.000 μB/f.u. The uncorrected formation energy is -1.77 kcal/mol of atoms.

***

Entry 16:
GaTeBr2 | PBE | optimized geometry

a = 10.5873 Å, b = 10.5873 Å, c = 10.5873 Å
α = 19.23°, β = 19.23°, γ = 19.23°
Closest atoms and distances in Å follow each position.
Positions (direct):
Br 0.0882 0.0882 0.0882  1 Ga 2.75
Br 0.9118 0.9118 0.9118  1 Ga 2.75
Te 0.5000 0.5000 0.5000  6 Br 3.19, 6 Te 3.54
Ga 0.0000 0.0000 0.0000  2 Br 2.75

Its space-group type is R-3m, No. 166. The magnetization comes out at 0.000 μB/f.u. The uncorrected formation energy is 3.64 kcal/mol of atoms.

***

Entry 17:
Ga2TeBr | PBE | optimized geometry

a = 4.1713 Å, b = 4.1713 Å, c = 7.9740 Å
α = 74.84°, β = 74.84°, γ = 60.00°
Closest atoms and distances in Å follow each position.
Positions (direct):
Ga 0.0745 0.0745 0.7764  3 Te 2.84, 3 Br 3.16
Ga 0.2529 0.2529 0.2412  3 Te 3.14, 3 Br 3.14
Br 0.4977 0.4977 0.5069  6 Ga 3.14-3.16
Te 0.6748 0.6748 0.9755  6 Ga 2.84-3.14

Its space-group type is R3m, No. 160. The magnetization comes out at 0.000 μB/f.u. The uncorrected formation energy is -5.92 kcal/mol of atoms.

***

Entry 18:
Ga2Te2Br7 | PBE | optimized geometry

a = 11.7296 Å, b = 10.3923 Å, c = 14.4148 Å
α = 81.63°, β = 90.00°, γ = 90.00°
Closest atoms and distances in Å follow each position.
Positions (direct):
Br 0.5574 0.3865 0.7134  1 Ga 2.40
Br 0.8183 0.1354 0.6491  1 Ga 2.38
Br 0.0357 0.0678 0.1375  2 Ga 2.48-2.51
Br 0.3759 0.7196 0.6233  1 Ga 2.33
Br 0.9643 0.9322 0.8625  2 Ga 2.48-2.51
Br 0.8759 0.2804 0.8767  1 Ga 2.33
Br 0.6817 0.1354 0.1491  1 Ga 2.38
Br 0.4643 0.0678 0.6375  2 Ga 2.48-2.51
Br 0.4426 0.6135 0.2866  1 Ga 2.40
Br 0.3578 0.9842 0.1197  1 Ga 2.32
Br 0.2417 0.2559 0.2893  1 Ga 2.31
Br 0.1241 0.7196 0.1233  1 Ga 2.33
Br 0.6422 0.0158 0.8803  1 Ga 2.32
Br 0.6761 0.6163 0.4772  1 Ga 2.31
Br 0.1817 0.8646 0.3509  1 Ga 2.38
Br 0.2583 0.2559 0.7893  1 Ga 2.31
Br 0.5357 0.9322 0.3625  2 Ga 2.48-2.51
Br 0.1422 0.9842 0.6197  1 Ga 2.32
Br 0.9426 0.3865 0.2134  1 Ga 2.40
Br 0.3239 0.3837 0.5228  1 Ga 2.31
Br 0.8239 0.6163 0.9772  1 Ga 2.31
Br 0.0574 0.6135 0.7866  1 Ga 2.40
Br 0.1761 0.3837 0.0228  1 Ga 2.31
Br 0.3183 0.8646 0.8509  1 Ga 2.38
Br 0.7417 0.7441 0.2107  1 Ga 2.31
Br 0.6241 0.2804 0.3767  1 Ga 2.33
Br 0.8578 0.0158 0.3803  1 Ga 2.32
Br 0.7583 0.7441 0.7107  1 Ga 2.31
Te 0.4580 0.5848 0.8760  2 Te 2.73-2.75
Te 0.9580 0.4152 0.6240  2 Te 2.73-2.75
Te 0.5420 0.4152 0.1240  2 Te 2.73-2.75
Te 0.0619 0.6442 0.5548  2 Te 2.73-2.75
Te 0.5619 0.3558 0.9452  2 Te 2.73-2.75
Te 0.0420 0.5848 0.3760  2 Te 2.73-2.75
Te 0.4381 0.6442 0.0548  2 Te 2.73-2.75
Te 0.9381 0.3558 0.4452  2 Te 2.73-2.75
Ga 0.6122 0.7158 0.3330  4 Br 2.31-2.51
Ga 0.3878 0.2842 0.6670  4 Br 2.31-2.51
Ga 0.1866 0.9034 0.1843  4 Br 2.32-2.48
Ga 0.6866 0.0966 0.3157  4 Br 2.32-2.48
Ga 0.8134 0.0966 0.8157  4 Br 2.32-2.48
Ga 0.8878 0.7158 0.8330  4 Br 2.31-2.51
Ga 0.1122 0.2842 0.1670  4 Br 2.31-2.51
Ga 0.3134 0.9034 0.6843  4 Br 2.32-2.48

Its space-group type is P2_1/c, No. 14. The magnetization comes out at 0.000 μB/f.u. The uncorrected formation energy is -14.89 kcal/mol of atoms.

***

Entry 19:
Ti2GaTeBr | PBE | optimized geometry

a = 5.1477 Å, b = 6.8664 Å, c = 5.1477 Å
α = 90.00°, β = 90.00°, γ = 90.00°
Closest atoms and distances in Å follow each position.
Positions (direct):
Ga 0.5000 0.5000 0.5000  4 Br 3.64
Ti 0.5000 0.0000 0.0000  2 Te 2.57
Ti 0.0000 0.0000 0.5000  2 Te 2.57
Te 0.0000 0.0000 0.0000  4 Ti 2.57
Br 0.0000 0.5000 0.0000  2 Te 3.43, 4 Ga 3.64

Its space-group type is P4/mmm, No. 123. The magnetization comes out at 4.018 μB/f.u. The uncorrected formation energy is 16.03 kcal/mol of atoms.

***

Entry 20:
VGaTe2Br | PBE | optimized geometry

a = 5.0833 Å, b = 5.2110 Å, c = 5.0833 Å
α = 90.00°, β = 90.00°, γ = 90.00°
Closest atoms and distances in Å follow each position.
Positions (direct):
Ga 0.0000 0.5000 0.0000  2 V 2.61
Te 0.0000 0.0000 0.5000  2 V 2.54
Te 0.5000 0.0000 0.0000  2 V 2.54
V 0.0000 0.0000 0.0000  4 Te 2.54, 2 Ga 2.61
Br 0.5000 0.5000 0.5000  4 Ga 3.59, 8 Te 3.64

Its space-group type is P4/mmm, No. 123. The magnetization comes out at 0.391 μB/f.u. The uncorrected formation energy is -0.05 kcal/mol of atoms.